Entry 1:
9
Lattice="4.4171 0.0000 0.0000 -2.2086 3.8253 0.0000 0.0000 0.0000 4.3291" Properties=species:S:1:pos:R:3 comment="PmCuNiH6 PBE optimized geometry" energy_ev_per_atom=-4.142 space_group="No. 187" dos_ef_per_ev_fu=2.309 pbc="T T T"
Pm 0.0000 0.0000 0.0000
Cu 2.2086 1.2751 2.1645
Ni 0.0000 2.5502 2.1645
H -1.0540 1.9417 1.0742
H -1.0540 1.9417 3.2548
H 1.0540 1.9417 1.0742
H 1.0540 1.9417 3.2548
H 0.0000 3.7673 1.0742
H 0.0000 3.7673 3.2548



Entry 2:
10
Lattice="5.8137 0.0000 0.0000 0.0000 4.4832 0.0000 -2.6692 0.0000 6.9914" Properties=species:S:1:pos:R:3 comment="Pm2CuNiH PBE optimized geometry" energy_ev_per_atom=-4.876 space_group="No. 11" dos_ef_per_ev_fu=3.052 pbc="T T T"
Pm 0.0094 1.1208 2.9527
Pm 1.4634 3.3624 0.5002
Pm 1.6811 1.1208 6.4912
Pm 3.1352 3.3624 4.0387
Cu 0.0898 3.3624 4.9117
Cu 3.0547 1.1208 2.0797
Ni -1.2062 1.1208 5.5471
Ni 4.3508 3.3624 1.4443
H 0.8139 1.1208 0.1790
H 2.3307 3.3624 6.8124



Entry 3:
12
Lattice="4.3175 0.0000 0.0000 -2.1587 3.7390 0.0000 0.0000 0.0000 6.5263" Properties=species:S:1:pos:R:3 comment="PmCuNi4H6 PBE optimized geometry" energy_ev_per_atom=-4.555 space_group="No. 191" dos_ef_per_ev_fu=5.950 pbc="T T T"
Pm 0.0000 0.0000 0.0000
Cu 0.0000 0.0000 3.2632
Ni 0.0000 2.4927 2.0895
Ni 0.0000 2.4927 4.4369
Ni 2.1587 1.2463 2.0895
Ni 2.1587 1.2463 4.4369
H -1.0794 1.8695 1.0895
H -1.0794 1.8695 5.4368
H 2.1587 0.0000 1.0895
H 2.1587 0.0000 5.4368
H 1.0794 1.8695 1.0895
H 1.0794 1.8695 5.4368



Entry 4:
12
Lattice="2.2239 1.2840 5.4036 -2.2239 1.2840 5.4036 0.0000 -2.5680 5.4036" Properties=species:S:1:pos:R:3 comment="PmCuNi2H8 PBE optimized geometry" energy_ev_per_atom=-4.060 space_group="No. 148" dos_ef_per_ev_fu=1.401 pbc="T T T"
Pm 0.0000 0.0000 0.0000
Cu 0.0000 0.0000 8.1055
Ni 0.0000 0.0000 3.2779
Ni 0.0000 0.0000 12.9331
H -1.5208 0.1749 7.3061
H -0.9119 -1.2296 8.9048
H 0.0000 0.0000 4.8954
H 0.6089 -1.4046 7.3061
H -0.6089 1.4046 8.9048
H 0.0000 0.0000 11.3156
H 0.9119 1.2296 7.3061
H 1.5208 -0.1749 8.9048



Entry 5:
10
Lattice="3.6216 -3.6686 0.0000 3.6216 3.6686 0.0000 -3.6047 0.0000 3.7464" Properties=species:S:1:pos:R:3 comment="Pr2CuNiH6 PBE optimized geometry" energy_ev_per_atom=-4.317 space_group="No. 12" dos_ef_per_ev_fu=3.571 pbc="T T T"
Pr 3.6216 1.8320 0.0000
Pr 3.6216 -1.8320 0.0000
Cu -1.8023 0.0000 1.8732
Ni 1.8192 0.0000 1.8732
H 0.0862 0.0000 1.8790
H 1.8192 1.7469 1.8732
H 1.8134 0.0000 0.1193
H 1.8250 0.0000 3.6271
H 1.8192 -1.7469 1.8732
H 3.5522 0.0000 1.8674



Entry 6:
12
Lattice="2.2297 1.2873 5.5056 -2.2297 1.2873 5.5056 0.0000 -2.5746 5.5056" Properties=species:S:1:pos:R:3 comment="PrCuNi2H8 PBE optimized geometry" energy_ev_per_atom=-4.067 space_group="No. 148" dos_ef_per_ev_fu=1.752 pbc="T T T"
Pr 0.0000 0.0000 0.0000
Cu 0.0000 0.0000 8.2584
Ni 0.0000 0.0000 3.3054
Ni 0.0000 0.0000 13.2115
H -0.6122 -1.4119 7.4681
H -1.5288 -0.1758 9.0488
H 0.0000 0.0000 4.9374
H -0.9166 1.2361 7.4681
H 0.9166 -1.2361 9.0488
H 0.0000 0.0000 11.5795
H 1.5288 0.1758 7.4681
H 0.6122 1.4119 9.0488



Entry 7:
5
Lattice="3.9696 0.0000 0.0000 0.0000 3.9696 0.0000 0.0000 0.0000 3.6539" Properties=species:S:1:pos:R:3 comment="CuNiHPt2 PBE optimized geometry" energy_ev_per_atom=-5.093 space_group="No. 123" dos_ef_per_ev_fu=3.907 e_above_lowest_polymorph_mev_per_atom=0 pbc="T T T"
Cu 0.0000 0.0000 0.0000
Ni 1.9848 1.9848 0.0000
H 1.9848 1.9848 1.8270
Pt 0.0000 1.9848 1.8270
Pt 1.9848 0.0000 1.8270



Entry 8:
5
Lattice="3.8076 0.0000 0.0000 0.0000 3.8076 0.0000 0.0000 0.0000 3.7120" Properties=species:S:1:pos:R:3 comment="Cu2NiHPt PBE optimized geometry" energy_ev_per_atom=-4.642 space_group="No. 123" dos_ef_per_ev_fu=3.736 e_above_lowest_polymorph_mev_per_atom=54 pbc="T T T"
Cu 0.0000 1.9038 0.0000
Cu 1.9038 0.0000 0.0000
Ni 0.0000 0.0000 1.8560
H 1.9038 1.9038 0.0000
Pt 1.9038 1.9038 1.8560



Entry 9:
5
Lattice="3.8604 0.0000 0.0000 0.0000 3.8604 0.0000 0.0000 0.0000 3.5408" Properties=species:S:1:pos:R:3 comment="Cu2NiHPt PBE optimized geometry" energy_ev_per_atom=-4.696 space_group="No. 123" dos_ef_per_ev_fu=2.764 e_above_lowest_polymorph_mev_per_atom=0 pbc="T T T"
Cu 0.0000 1.9302 0.0000
Cu 1.9302 0.0000 0.0000
Ni 0.0000 0.0000 1.7704
H 0.0000 0.0000 0.0000
Pt 1.9302 1.9302 1.7704



Entry 10:
5
Lattice="3.9432 0.0000 0.0000 0.0000 3.9432 0.0000 0.0000 0.0000 3.7256" Properties=species:S:1:pos:R:3 comment="CuNiHPt2 PBE optimized geometry" energy_ev_per_atom=-5.053 space_group="No. 123" dos_ef_per_ev_fu=3.659 e_above_lowest_polymorph_mev_per_atom=40 pbc="T T T"
Cu 0.0000 0.0000 0.0000
Ni 1.9716 1.9716 0.0000
H 0.0000 0.0000 1.8628
Pt 0.0000 1.9716 1.8628
Pt 1.9716 0.0000 1.8628



Entry 11:
5
Lattice="3.6781 0.0000 0.0000 0.0000 3.6781 0.0000 0.0000 0.0000 3.8157" Properties=species:S:1:pos:R:3 comment="CuNi2HPt PBE optimized geometry" energy_ev_per_atom=-5.039 space_group="No. 123" dos_ef_per_ev_fu=4.797 pbc="T T T"
Cu 0.0000 0.0000 0.0000
Ni 0.0000 1.8390 1.9079
Ni 1.8390 0.0000 1.9079
H 0.0000 0.0000 1.9079
Pt 1.8390 1.8390 0.0000



Entry 12:
5
Lattice="3.6996 0.0000 0.0000 0.0000 3.6996 0.0000 0.0000 0.0000 3.8283" Properties=species:S:1:pos:R:3 comment="CuNi2HPt PBE optimized geometry" energy_ev_per_atom=-5.040 space_group="No. 123" dos_ef_per_ev_fu=4.127 pbc="T T T"
Cu 0.0000 0.0000 0.0000
Ni 0.0000 1.8498 1.9141
Ni 1.8498 0.0000 1.9141
H 1.8498 1.8498 1.9141
Pt 1.8498 1.8498 0.0000



| no. | calculated volume (Å³ per atom) |
| --- | --- |
| 1 | 8.13 |
| 2 | 18.22 |
| 3 | 8.78 |
| 4 | 7.71 |
| 5 | 9.95 |
| 6 | 7.90 |
| 7 | 11.52 |
| 8 | 10.76 |
| 9 | 10.55 |
| 10 | 11.59 |
| 11 | 10.32 |
| 12 | 10.48 |